Here is a geometry-optimized Ca5Ta3 structure from Alexandria. Energies are from PBE. Values from VASP.

```
&SYSTEM
  ibrav = 0, nat = 16, ntyp = 2
/
ATOMIC_SPECIES
Ca 40.08 Ca.upf
Ta 180.95 Ta.upf
CELL_PARAMETERS angstrom
9.958 0.000 0.000
-4.979 8.624 0.000
0.000 0.000 5.483
ATOMIC_POSITIONS angstrom
Ca -1.222 2.117 1.371
Ca -3.757 6.507 4.113
Ca 2.445 0.000 1.371
Ca 1.222 2.117 4.113
Ca 0.000 5.749 0.000
Ca 0.000 5.749 2.742
Ca 4.979 2.875 0.000
Ca 4.979 2.875 2.742
Ca 7.514 0.000 4.113
Ca 3.757 6.507 1.371
Ta -2.227 3.858 4.113
Ta -2.752 4.766 1.371
Ta 4.455 0.000 4.113
Ta 2.227 3.858 1.371
Ta 5.504 0.000 1.371
Ta 2.752 4.766 4.113
```

Calculated values
- crystal system = hexagonal
- ΔE_f (eV per formula unit) = 7.418
- symmetry = P6_3/mcm
- total magnetization (Bohr magnetons per cell) = 6.29
- offset from the most stable computed form (eV/atom) = 0.2937
- V (Å³ per cell) = 471